A plane-wave DFT calculation with PBEsol was carried out for Li6CuS4 after structural relaxation.

* DOS(E_F): 7.1 states/eV/f.u.
* ΔE_f (raw): -1.0660 eV per atom
* E: -90.79 eV for the cell shown
* space group: P4_2/nmc (137)

Cell: 7.850 7.850 5.650 Å, 90.00 90.00 90.00°
Positions (direct):
1 Li 0.025 0.525 0.250
2 Li 0.025 0.975 0.250
3 Li 0.250 0.250 0.204
4 Li 0.250 0.250 0.704
5 Li 0.475 0.525 0.250
6 Li 0.475 0.975 0.250
7 Li 0.525 0.025 0.750
8 Li 0.525 0.475 0.750
9 Li 0.750 0.750 0.296
10 Li 0.750 0.750 0.796
11 Li 0.975 0.025 0.750
12 Li 0.975 0.475 0.750
13 Cu 0.250 0.750 0.750
14 Cu 0.750 0.250 0.250
15 S 0.003 0.250 0.456
16 S 0.250 0.003 0.956
17 S 0.250 0.497 0.956
18 S 0.497 0.250 0.456
19 S 0.503 0.750 0.544
20 S 0.750 0.503 0.044
21 S 0.750 0.997 0.044
22 S 0.997 0.750 0.544

=====

A plane-wave DFT calculation with PBEsol was carried out for KZrSb2 after structural relaxation.

* DOS(E_F): 2.0 states/eV/f.u.
* ΔE_f (raw): -0.1744 eV per atom
* E: -20.04 eV for the cell shown
* space group: P4/mmm (123)

Cell: 5.733 5.733 3.086 Å, 90.00 90.00 90.00°
Positions (direct):
1 K 0.000 0.000 0.000
2 Zr 0.500 0.500 0.000
3 Sb 0.000 0.500 0.500
4 Sb 0.500 0.000 0.500

=====

A plane-wave DFT calculation with PBEsol was carried out for Ir2PtCl after structural relaxation.

* DOS(E_F): 4.7 states/eV/f.u.
* ΔE_f (raw): 0.8817 eV per atom
* E: -25.09 eV for the cell shown
* space group: P4/mmm (123)

Cell: 4.681 4.681 2.718 Å, 90.00 90.00 90.00°
Positions (direct):
1 Ir 0.000 0.500 0.000
2 Ir 0.500 0.000 0.000
3 Pt 0.000 0.000 0.500
4 Cl 0.500 0.500 0.500

=====

A plane-wave DFT calculation with PBEsol was carried out for ScMoCl2 after structural relaxation.

* DOS(E_F): 3.7 states/eV/f.u.
* ΔE_f (raw): -0.1074 eV per atom
* E: -22.82 eV for the cell shown
* space group: P4/mmm (123)

Cell: 2.942 2.942 9.688 Å, 90.00 90.00 90.00°
Positions (direct):
1 Sc 0.000 0.000 0.000
2 Mo 0.000 0.000 0.500
3 Cl 0.500 0.500 0.160
4 Cl 0.500 0.500 0.840

=====

A plane-wave DFT calculation with PBEsol was carried out for TaCu2Au after structural relaxation.

* DOS(E_F): 1.6 states/eV/f.u.
* formation enthalpy at 0 K: 0.07 eV/atom
* E: -24.87 eV for the cell shown
* space group: F-43m (216)

Cell: 4.340 4.340 4.340 Å, 60.00 60.00 60.00°
Positions (direct):
1 Ta 0.000 0.000 0.000
2 Cu 0.500 0.500 0.500
3 Cu 0.750 0.750 0.750
4 Au 0.250 0.250 0.250

=====

A plane-wave DFT calculation with PBEsol was carried out for BaSi2Rh after structural relaxation.

* DOS(E_F): 3.0 states/eV/f.u.
* ΔE_f (raw): -0.0474 eV per atom
* E: -21.97 eV for the cell shown
* space group: Imm2 (44)

Cell: 5.258 5.258 5.258 Å, 133.95 107.58 90.22°
Positions (direct):
1 Ba 0.000 0.000 0.000
2 Si 0.329 0.829 0.500
3 Si 0.501 0.501 0.000
4 Rh 0.646 0.146 0.500

=====

A plane-wave DFT calculation with PBEsol was carried out for BeNiIO2 after structural relaxation.

* DOS(E_F): 5.4 states/eV/f.u.
* ΔE_f (raw): -0.1642 eV per atom
* E: -23.24 eV for the cell shown
* space group: P4/mmm (123)

Cell: 3.429 3.429 6.103 Å, 90.00 90.00 90.00°
Positions (direct):
1 Be 0.000 0.000 0.000
2 Ni 0.500 0.500 0.500
3 I 0.000 0.000 0.500
4 O 0.000 0.500 0.000
5 O 0.500 0.000 0.000

=====

A plane-wave DFT calculation with PBEsol was carried out for ZrCoRu2 after structural relaxation.

* DOS(E_F): 4.2 states/eV/f.u.
* formation enthalpy at 0 K: 0.00 eV/atom
* E: -37.16 eV for the cell shown
* space group: Cm (8)

Cell: 4.716 4.716 4.595 Å, 101.83 101.83 34.99°
Positions (direct):
1 Zr 0.000 0.000 0.000
2 Co 0.246 0.246 0.755
3 Ru 0.508 0.508 0.504
4 Ru 0.764 0.764 0.317

=====

A plane-wave DFT calculation with PBEsol was carried out for NaEuTiO4 after structural relaxation.

* DOS(E_F): 7.2 states/eV/f.u.
* ΔE_f (raw): -2.7576 eV per atom
* E: -242.34 eV for the cell shown
* space group: Pbcm (57)

Cell: 12.662 5.333 5.250 Å, 90.00 90.00 90.00°
Positions (direct):
1 Na 0.085 0.001 0.250
2 Na 0.085 0.499 0.750
3 Na 0.915 0.501 0.250
4 Na 0.915 0.999 0.750
5 Eu 0.393 0.019 0.250
6 Eu 0.393 0.481 0.750
7 Eu 0.607 0.519 0.250
8 Eu 0.607 0.981 0.750
9 Ti 0.233 0.507 0.250
10 Ti 0.233 0.993 0.750
11 Ti 0.767 0.007 0.250
12 Ti 0.767 0.493 0.750
13 O 0.095 0.533 0.250
14 O 0.095 0.967 0.750
15 O 0.258 0.250 0.000
16 O 0.258 0.250 0.500
17 O 0.279 0.750 0.000
18 O 0.279 0.750 0.500
19 O 0.432 0.049 0.750
20 O 0.432 0.451 0.250
21 O 0.568 0.549 0.750
22 O 0.568 0.951 0.250
23 O 0.721 0.250 0.000
24 O 0.721 0.250 0.500
25 O 0.742 0.750 0.000
26 O 0.742 0.750 0.500
27 O 0.905 0.033 0.250
28 O 0.905 0.467 0.750

=====

A plane-wave DFT calculation with PBEsol was carried out for CaTiNb3 after structural relaxation.

* DOS(E_F): 6.8 states/eV/f.u.
* formation enthalpy at 0 K: 2.15 eV/atom
* E: -32.15 eV for the cell shown
* space group: Pm-3m (221)

Cell: 4.668 4.668 4.668 Å, 90.00 90.00 90.00°
Positions (direct):
1 Ca 0.000 0.000 0.000
2 Ti 0.500 0.500 0.500
3 Nb 0.000 0.000 0.500
4 Nb 0.000 0.500 0.000
5 Nb 0.500 0.000 0.000

=====

A plane-wave DFT calculation with PBEsol was carried out for Mn2AsOs after structural relaxation.

* DOS(E_F): 3.3 states/eV/f.u.
* formation enthalpy at 0 K: 0.16 eV/atom
* E: -36.22 eV for the cell shown
* space group: Cmmm (65)

Cell: 4.472 4.472 2.826 Å, 90.00 90.00 111.50°
Positions (direct):
1 Mn 0.000 0.500 0.000
2 Mn 0.500 0.000 0.000
3 As 0.000 0.000 0.500
4 Os 0.500 0.500 0.500

=====

A plane-wave DFT calculation with PBEsol was carried out for CaLa3 after structural relaxation.

* DOS(E_F): 5.8 states/eV/f.u.
* formation enthalpy at 0 K: 0.03 eV/atom
* E: -18.04 eV for the cell shown
* space group: P4/mmm (123)

Cell: 3.639 3.639 10.688 Å, 90.00 90.00 90.00°
Positions (direct):
1 Ca 0.000 0.000 0.000
2 La 0.000 0.000 0.500
3 La 0.500 0.500 0.270
4 La 0.500 0.500 0.730

=====

A plane-wave DFT calculation with PBEsol was carried out for KTe2CN after structural relaxation.

* DOS(E_F): 1.0 states/eV/f.u.
* ΔE_f (raw): 0.4909 eV per atom
* E: -23.90 eV for the cell shown
* space group: P4/mmm (123)

Cell: 6.554 6.554 2.638 Å, 90.00 90.00 90.00°
Positions (direct):
1 K 0.000 0.000 0.000
2 Te 0.000 0.500 0.500
3 Te 0.500 0.000 0.500
4 C 0.500 0.500 0.500
5 N 0.500 0.500 0.000

=====

A plane-wave DFT calculation with PBEsol was carried out for CaScCo2 after structural relaxation.

* DOS(E_F): 5.5 states/eV/f.u.
* formation enthalpy at 0 K: 0.17 eV/atom
* E: -23.52 eV for the cell shown
* space group: P4mm (99)

Cell: 3.122 3.122 7.581 Å, 90.00 90.00 90.00°
Positions (direct):
1 Ca 0.000 0.000 0.000
2 Sc 0.500 0.500 0.599
3 Co 0.000 0.000 0.388
4 Co 0.500 0.500 0.269